[1]
## NdPaSi2 (PBE)

Data for a geometry-optimized NdPaSi2 structure.

Unit cell a=3.3185 b=3.3185 c=7.9933 alpha=90.00 beta=90.00 gamma=90.00
Element x y z (fractional)
Si: 0.0000 0.0000 0.7608
Nd: 0.5000 0.5000 0.5000
Si: 0.0000 0.0000 0.2392
Pa: 0.5000 0.5000 0.0000

raw total energy	-6.65	eV per atom
spin magnetization	0.0	Bohr magnetons per cell
formation energy (no corrections)	-0.368	eV/atom
space group	P4/mmm, No. 123
crystal system	tetragonal


[2]
## ScCd2 (PBE)

Data for a geometry-optimized ScCd2 structure.

Unit cell a=13.9571 b=13.9571 c=13.9571 alpha=166.97 beta=166.97 gamma=18.46
Element x y z (fractional)
Cd: 0.1712 0.6712 0.5000
Cd: 0.3288 0.8288 0.5000
Sc: 0.0000 0.0000 0.0000
Cd: 0.5788 0.5788 0.0000
Sc: 0.7500 0.2500 0.5000
Cd: 0.4212 0.4212 0.0000

raw total energy	-2.85	eV per atom
spin magnetization	0.8	Bohr magnetons per cell
calculated formation energy	-128	meV/atom
space group	I4_1/amd, No. 141
crystal system	tetragonal


> Number 2 is which compound?

ScCd2


> Number 1 is which compound?

NdPaSi2